# PBE-GGA PmIBr2, optimized geometry
# - Formation energy from raw total energies: -1.674 eV per atom
# - E above lowest polymorph: 0.011 eV per atom
data_PmIBr2
_chemical_formula_sum 'Pm2 I2 Br4'
_space_group_name_H-M_alt 'C 1 2/m 1'
_space_group_IT_number 12
_cell_length_a 13.895
_cell_length_b 6.197
_cell_length_c 4.301
_cell_angle_alpha 90.00
_cell_angle_beta 104.95
_cell_angle_gamma 90.00
loop_
_space_group_symop_operation_xyz
'x,y,z'
'-x,-y,-z'
'-x,y,-z'
'x,-y,z'
'x+1/2,y+1/2,z'
'-x+1/2,-y+1/2,-z'
'-x+1/2,y+1/2,-z'
'x+1/2,-y+1/2,z'
loop_
_atom_site_label
_atom_site_fract_x
_atom_site_fract_y
_atom_site_fract_z
Pm1 0.000 0.000 0.000
I1 0.000 0.500 0.000
Br1 0.145 0.000 0.621